# BaSr2Li16

A relaxed BaSr2Li16 crystal (GGA-PBE, Alexandria via LeMat-Bulk).

Summary:
M_tot: 0.00 μB per formula unit
Total DFT energy (no corrections): -35.335 eV per cell
Formation energy: 0.030 eV/atom
Calculated volume: 26.3 Å³/atom
Density: 1.4 g cm⁻³

Lattice parameters (Å, degrees): 7.9949 7.9949 7.9949 82.51 82.51 82.51
With the nearest neighbours (Å) after each atom.
Atoms (fractional coordinates):
1 Ba 0.0000 0.0000 0.0000  13 Li 3.29-3.68
2 Sr 0.4421 0.4421 0.4421  16 Li 3.59-3.91
3 Sr 0.7414 0.7414 0.7414  12 Li 3.65-3.69, 1 Ba 4.02
4 Li 0.1044 0.4195 0.7972  8 Li 2.98-3.32
5 Li 0.1044 0.7972 0.4195  8 Li 2.98-3.32
6 Li 0.1150 0.1150 0.5739  7 Li 2.90-3.19
7 Li 0.1150 0.5739 0.1150  7 Li 2.90-3.19
8 Li 0.2113 0.2113 0.2113  6 Li 2.93-3.17
9 Li 0.2800 0.7466 0.7466  8 Li 3.00-3.29
10 Li 0.4195 0.1044 0.7972  8 Li 2.98-3.32
11 Li 0.4195 0.7972 0.1044  8 Li 2.98-3.32
12 Li 0.4430 0.4430 0.9529  9 Li 2.90-3.20
13 Li 0.4430 0.9529 0.4430  9 Li 2.90-3.20
14 Li 0.5739 0.1150 0.1150  7 Li 2.90-3.19
15 Li 0.7466 0.2800 0.7466  8 Li 3.00-3.29
16 Li 0.7466 0.7466 0.2800  8 Li 3.00-3.29
17 Li 0.7972 0.1044 0.4195  8 Li 2.98-3.32
18 Li 0.7972 0.4195 0.1044  8 Li 2.98-3.32
19 Li 0.9529 0.4430 0.4430  9 Li 2.90-3.20